Entry 1:
Computed, not measured: Hf2Be17 after structural relaxation at the GGA-PBEsol level of DFT.

Cell and atoms, written as CIF:
```
data_Hf2Be17
_chemical_formula_sum 'Hf4 Be34'
_space_group_name_H-M_alt 'P 1'
_space_group_IT_number 1
_space_group_name_Hall 'P 1'
_cell_length_a 7.427
_cell_length_b 7.427
_cell_length_c 7.255
_cell_angle_alpha 90.00
_cell_angle_beta 90.00
_cell_angle_gamma 120.00
loop_
_atom_site_label
_atom_site_fract_x
_atom_site_fract_y
_atom_site_fract_z
Hf1 0.000 0.000 0.250
Hf2 0.000 0.000 0.750
Hf3 0.333 0.667 0.250
Hf4 0.667 0.333 0.750
Be1 0.000 0.500 0.000
Be2 0.000 0.500 0.500
Be3 0.046 0.377 0.750
Be4 0.046 0.668 0.750
Be5 0.165 0.330 0.013
Be6 0.165 0.330 0.487
Be7 0.165 0.835 0.013
Be8 0.165 0.835 0.487
Be9 0.330 0.165 0.513
Be10 0.330 0.165 0.987
Be11 0.332 0.377 0.750
Be12 0.332 0.954 0.750
Be13 0.333 0.667 0.606
Be14 0.333 0.667 0.894
Be15 0.377 0.046 0.250
Be16 0.377 0.332 0.250
Be17 0.500 0.000 0.000
Be18 0.500 0.000 0.500
Be19 0.500 0.500 0.000
Be20 0.500 0.500 0.500
Be21 0.623 0.668 0.750
Be22 0.623 0.954 0.750
Be23 0.667 0.333 0.106
Be24 0.667 0.333 0.394
Be25 0.668 0.046 0.250
Be26 0.668 0.623 0.250
Be27 0.670 0.835 0.013
Be28 0.670 0.835 0.487
Be29 0.835 0.165 0.513
Be30 0.835 0.165 0.987
Be31 0.835 0.670 0.513
Be32 0.835 0.670 0.987
Be33 0.954 0.332 0.250
Be34 0.954 0.623 0.250
```

Entry 2:
Computed, not measured: Hf2Be2Hg after structural relaxation at the GGA-PBEsol level of DFT.

Cell and atoms, written as CIF:
```
data_Hf2Be2Hg
_chemical_formula_sum 'Hf4 Be4 Hg2'
_space_group_name_H-M_alt 'P 1'
_space_group_IT_number 1
_space_group_name_Hall 'P 1'
_cell_length_a 6.249
_cell_length_b 6.249
_cell_length_c 3.927
_cell_angle_alpha 90.00
_cell_angle_beta 90.00
_cell_angle_gamma 90.00
loop_
_atom_site_label
_atom_site_fract_x
_atom_site_fract_y
_atom_site_fract_z
Hf1 0.170 0.330 0.000
Hf2 0.330 0.830 0.000
Hf3 0.670 0.170 0.000
Hf4 0.830 0.670 0.000
Be1 0.123 0.623 0.500
Be2 0.377 0.123 0.500
Be3 0.623 0.877 0.500
Be4 0.877 0.377 0.500
Hg1 0.000 0.000 0.500
Hg2 0.500 0.500 0.500
```

| no. | ΔE_f (kJ/mol of formula units) |
| --- | --- |
| 1 | -408 |
| 2 | -132 |